# 1
Below is a geometry-optimized ScPdSe structure, with properties calculated at the PBE level.

Cell: 5.1404 3.5474 7.3934 Å, 103.88 110.34 90.00°
Element x y z (fractional)
Sc 0.6360 0.1360 0.2720
Sc 0.3640 0.8640 0.7280
Pd 0.7476 0.5000 0.0000
Pd 0.2524 0.5000 0.0000
Se 0.1675 0.6675 0.3351
Se 0.8325 0.3325 0.6649

symmetry = No. 71
ρ = 6.26 g cm⁻³
uncorrected formation energy = -940.4 meV/atom

# 2
Below is a geometry-optimized Np2ZnGePt6 structure, with properties calculated at the PBE level.

Cell: 8.5600 5.5695 8.5623 Å, 71.05 37.96 90.03°
Element x y z (fractional)
Np 0.2995 0.6999 0.5999
Np 0.7005 0.3001 0.4001
Zn 0.5000 0.5000 0.0000
Ge 0.0000 0.0000 0.0000
Pt 0.2502 0.7511 0.9911
Pt 0.7499 0.7414 0.0090
Pt 0.2574 0.2490 0.5013
Pt 0.7498 0.2489 0.0089
Pt 0.2501 0.2586 0.9910
Pt 0.7426 0.7510 0.4987

symmetry = No. 12
ΔH_f (0 K) = -0.39 eV per atom
ρ = 13.88 g cm⁻³

# 3
Below is a geometry-optimized KIn2SnPd2 structure, with properties calculated at the PBE level.

Cell: 5.0514 5.0514 6.4080 Å, 90.00 90.00 90.00°
Element x y z (fractional)
K 0.0000 0.0000 0.5000
In 0.5000 0.5000 0.7518
In 0.5000 0.5000 0.2482
Sn 0.0000 0.0000 0.0000
Pd 0.5000 0.0000 0.0000
Pd 0.0000 0.5000 0.0000

symmetry = No. 123
ΔH_f (0 K) = -0.21 eV per atom
ρ = 6.10 g cm⁻³

# 4
Below is a geometry-optimized Pr6GaHg2 structure, with properties calculated at the PBE level.

Cell: 9.0317 9.0317 9.0317 Å, 111.51 108.51 108.41°
Element x y z (fractional)
Pr 0.5651 0.7386 0.8265
Pr 0.4349 0.2614 0.1735
Pr 0.0879 0.2614 0.8265
Pr 0.9121 0.7386 0.1735
Pr 0.8080 0.7424 0.5504
Pr 0.1920 0.2576 0.4496
Pr 0.1920 0.7424 0.9343
Pr 0.8080 0.2576 0.0657
Pr 0.7338 0.4036 0.6698
Pr 0.2662 0.5964 0.3302
Pr 0.2662 0.9360 0.6698
Pr 0.7338 0.0640 0.3302
Ga 0.0000 0.5000 0.5000
Ga 0.0000 0.0000 0.0000
Hg 0.5000 0.3570 0.8570
Hg 0.5000 0.6430 0.1430
Hg 0.6436 0.0000 0.6436
Hg 0.3564 0.0000 0.3564

symmetry = No. 71
ΔH_f (0 K) = -0.27 eV per atom
ρ = 7.72 g cm⁻³
polymorph energy (0 for the lowest one) = 41 meV per atom

# 5
Below is a geometry-optimized ReTeW2 structure, with properties calculated at the PBE level.

Cell: 2.8577 2.8577 9.5215 Å, 90.00 90.00 111.96°
Element x y z (fractional)
Re 0.5000 0.5000 0.2500
Te 0.5000 0.5000 0.7500
W 0.0000 0.0000 0.0286
W 0.0000 0.0000 0.4714

symmetry = No. 65
ρ = 15.69 g cm⁻³
uncorrected formation energy = 777.3 meV/atom

# 6
Below is a geometry-optimized Nd5Sm4Tm4 structure, with properties calculated at the PBE level.

Cell: 5.0833 9.5511 9.5511 Å, 85.94 74.57 74.57°
Element x y z (fractional)
Nd 0.6928 0.8474 0.7670
Nd 0.3072 0.1526 0.2330
Nd 0.0000 0.0000 0.0000
Nd 0.5402 0.7670 0.1526
Nd 0.4598 0.2330 0.8474
Sm 0.9235 0.4602 0.6928
Sm 0.6163 0.3072 0.4602
Sm 0.0765 0.5398 0.3072
Sm 0.3837 0.6928 0.5398
Tm 0.7677 0.3871 0.0776
Tm 0.2323 0.6129 0.9224
Tm 0.8453 0.9224 0.3871
Tm 0.1547 0.0776 0.6129

symmetry = No. 87
ΔH_f (0 K) = 0.02 eV per atom
ρ = 7.70 g cm⁻³

# 7
Below is a geometry-optimized NaNpAs2 structure, with properties calculated at the PBE level.

Cell: 3.7400 4.7519 4.7519 Å, 90.00 90.00 90.00°
Element x y z (fractional)
Np 0.5000 0.0000 0.0000
Na 0.5000 0.5000 0.5000
As 0.0000 0.0000 0.5000
As 0.0000 0.5000 0.0000

symmetry = No. 123
ΔH_f (0 K) = -0.37 eV per atom
ρ = 8.06 g cm⁻³
polymorph energy (0 for the lowest one) = 42 meV per atom

# 8
Below is a geometry-optimized CaBe2Cd structure, with properties calculated at the PBE level.

Cell: 3.1404 2.9616 7.3497 Å, 90.00 90.00 90.00°
Element x y z (fractional)
Be 0.0000 0.0000 0.0577
Be 0.5000 0.5000 0.1734
Ca 0.0000 0.0000 0.4635
Cd 0.5000 0.5000 0.8054

symmetry = No. 25
ΔH_f (0 K) = 0.28 eV per atom
ρ = 4.14 g cm⁻³

# 9
Below is a geometry-optimized CuRe2Au structure, with properties calculated at the PBE level.

Cell: 4.4122 4.4122 4.4122 Å, 60.00 60.00 60.00°
Element x y z (fractional)
Au 0.5000 0.5000 0.5000
Cu 0.7500 0.7500 0.7500
Re 0.0000 0.0000 0.0000
Re 0.2500 0.2500 0.2500

symmetry = No. 216
ΔH_f (0 K) = 0.56 eV per atom
ρ = 17.30 g cm⁻³
polymorph energy (0 for the lowest one) = 382 meV per atom

# 10
Below is a geometry-optimized AlCuRu2Au structure, with properties calculated at the PBE level.

Cell: 4.4839 4.6271 4.4839 Å, 90.00 90.00 90.00°
Element x y z (fractional)
Ru 0.0000 0.0000 0.5000
Ru 0.5000 0.0000 0.0000
Au 0.0000 0.5000 0.0000
Al 0.0000 0.0000 0.0000
Cu 0.5000 0.5000 0.5000

symmetry = No. 123
ΔH_f (0 K) = 1.12 eV per atom
ρ = 8.74 g cm⁻³

# 11
Below is a geometry-optimized Al2V5H2 structure, with properties calculated at the PBE level.

Cell: 3.1610 4.9530 7.0401 Å, 83.90 90.00 108.61°
Element x y z (fractional)
Al 0.4299 0.8598 0.7066
Al 0.5701 0.1402 0.2934
V 0.3003 0.6007 0.1564
V 0.6997 0.3993 0.8436
V 0.1594 0.3188 0.5723
V 0.8406 0.6812 0.4277
V 0.0000 0.0000 0.0000
H 0.1872 0.3744 0.9651
H 0.8128 0.6256 0.0349

symmetry = No. 12
ρ = 4.97 g cm⁻³
polymorph energy (0 for the lowest one) = 0 meV per atom

# 12
Below is a geometry-optimized Tm3Th2UAs6 structure, with properties calculated at the PBE level.

Cell: 4.1346 8.2710 9.2471 Å, 102.88 102.92 90.00°
Element x y z (fractional)
Tm 0.5000 0.5000 0.0000
Tm 0.8320 0.1671 0.6640
Tm 0.1680 0.8329 0.3360
Th 0.8352 0.6693 0.6703
Th 0.1648 0.3307 0.3297
U 0.5000 0.0000 0.0000
As 0.3332 0.9264 0.6665
As 0.6645 0.5898 0.3290
As 0.6668 0.0736 0.3335
As 0.9960 0.2493 0.9920
As 0.0040 0.7507 0.0080
As 0.3355 0.4102 0.6710

symmetry = No. 12
ΔH_f (0 K) = -1.33 eV per atom
ρ = 9.18 g cm⁻³

# 13
Below is a geometry-optimized TaZnBr2 structure, with properties calculated at the PBE level.

Cell: 7.2577 7.2577 7.2577 Å, 154.70 140.86 47.18°
Element x y z (fractional)
Br 0.9831 0.9831 0.0000
Br 0.6684 0.1684 0.5000
Ta 0.5079 0.5079 0.0000
Zn 0.3405 0.8405 0.5000

symmetry = No. 44
ρ = 6.56 g cm⁻³
uncorrected formation energy = 162.9 meV/atom
polymorph energy (0 for the lowest one) = 340 meV per atom

# 14
Below is a geometry-optimized Pm2Nd3Sm7 structure, with properties calculated at the PBE level.

Cell: 5.6655 6.1920 12.4883 Å, 92.37 90.00 90.00°
Element x y z (fractional)
Pm 0.5000 0.6133 0.2827
Pm 0.5000 0.3867 0.7173
Nd 0.5000 0.5000 0.0000
Nd 0.0000 0.9377 0.3387
Nd 0.0000 0.0623 0.6613
Sm 0.5000 0.2370 0.4480
Sm 0.5000 0.7630 0.5520
Sm 0.0000 0.4425 0.1799
Sm 0.0000 0.0000 0.0000
Sm 0.0000 0.5575 0.8201
Sm 0.5000 0.9174 0.8339
Sm 0.5000 0.0826 0.1661

symmetry = No. 10
ΔH_f (0 K) = 0.28 eV per atom
ρ = 6.73 g cm⁻³
polymorph energy (0 for the lowest one) = 203 meV per atom

# 15
Below is a geometry-optimized K2TeI4 structure, with properties calculated at the PBE level.

Cell: 8.4116 8.4116 7.5508 Å, 123.85 123.85 90.00°
Element x y z (fractional)
K 0.7500 0.2500 0.5000
K 0.2500 0.7500 0.5000
Te 0.5000 0.5000 0.0000
I 0.7518 0.2490 0.0009
I 0.2490 0.7518 0.0009
I 0.7510 0.7510 0.9991
I 0.2482 0.2482 0.9991

symmetry = No. 139
ρ = 3.60 g cm⁻³
uncorrected formation energy = -876.7 meV/atom
polymorph energy (0 for the lowest one) = 0 meV per atom

# 16
Below is a geometry-optimized CsLi2F structure, with properties calculated at the PBE level.

Cell: 5.6222 5.6222 5.6222 Å, 60.00 60.00 60.00°
Element x y z (fractional)
Cs 0.5000 0.5000 0.5000
Li 0.2500 0.2500 0.2500
Li 0.7500 0.7500 0.7500
F 0.0000 0.0000 0.0000

symmetry = No. 225
ρ = 2.19 g cm⁻³
uncorrected formation energy = -340.9 meV/atom
polymorph energy (0 for the lowest one) = 726 meV per atom

# 17
Below is a geometry-optimized TbInAu structure, with properties calculated at the PBE level.

Cell: 4.2911 4.2911 8.4317 Å, 104.74 104.74 90.00°
Element x y z (fractional)
Tb 0.1716 0.1716 0.3433
Tb 0.8284 0.8284 0.6567
In 0.0000 0.5000 0.0000
In 0.5000 0.0000 0.0000
Au 0.6405 0.6405 0.2809
Au 0.3595 0.3595 0.7191

symmetry = No. 139
ΔH_f (0 K) = -0.65 eV per atom
ρ = 10.79 g cm⁻³

# 18
Below is a geometry-optimized HoTh3Au7 structure, with properties calculated at the PBE level.

Cell: 3.8384 11.0489 12.9455 Å, 90.00 90.00 100.00°
Element x y z (fractional)
Ho 0.9844 0.9688 0.2500
Ho 0.0156 0.0312 0.7500
Th 0.1355 0.2711 0.4443
Th 0.8645 0.7289 0.5557
Th 0.2178 0.4356 0.7500
Th 0.7822 0.5644 0.2500
Th 0.1355 0.2711 0.0557
Th 0.8645 0.7289 0.9443
Au 0.3718 0.7436 0.7500
Au 0.6282 0.2564 0.2500
Au 0.5288 0.0576 0.4085
Au 0.4712 0.9424 0.5915
Au 0.4712 0.9424 0.9085
Au 0.5288 0.0576 0.0915
Au 0.3970 0.7940 0.3618
Au 0.6030 0.2060 0.6382
Au 0.2744 0.5487 0.4300
Au 0.7256 0.4513 0.5700
Au 0.7256 0.4513 0.9300
Au 0.2744 0.5487 0.0700
Au 0.3970 0.7940 0.1382
Au 0.6030 0.2060 0.8618

symmetry = No. 63
ΔH_f (0 K) = -0.62 eV per atom
ρ = 13.76 g cm⁻³

# 19
Below is a geometry-optimized RuSe structure, with properties calculated at the PBE level.

Cell: 4.4392 4.4392 3.1282 Å, 90.00 90.00 90.00°
Element x y z (fractional)
Ru 0.2500 0.2500 0.4998
Ru 0.7500 0.7500 0.5002
Se 0.2500 0.7500 0.0000
Se 0.7500 0.2500 0.0000

symmetry = No. 123
ρ = 9.70 g cm⁻³
uncorrected formation energy = 264.6 meV/atom

# 20
Below is a geometry-optimized Er4UN5 structure, with properties calculated at the PBE level.

Cell: 4.8552 5.9254 5.9254 Å, 80.34 65.81 65.81°
Element x y z (fractional)
Er 0.4020 0.4004 0.7976
Er 0.8024 0.7976 0.5996
Er 0.1996 0.2024 0.4004
Er 0.6000 0.5996 0.2024
U 0.0010 0.0000 0.0000
N 0.9073 0.3807 0.8068
N 0.2880 0.8068 0.6193
N 0.7141 0.1932 0.3807
N 0.0948 0.6193 0.1932
N 0.5010 0.0000 0.0000

symmetry = No. 87
ρ = 11.44 g cm⁻³
uncorrected formation energy = -1703.5 meV/atom